Record 1
LaAg2Ir2: single point on PBEsol structure, meta-GGA SCAN.

Cell and atoms, written as POSCAR:
```
LaAg2Ir2
1.0
-1.416 3.534 0.934
-3.050 -0.590 -2.391
-0.994 -4.019 5.473
Ir Ag La
2 2 1
direct
0.250 0.750 0.500 Ir
0.750 0.250 0.500 Ir
0.396 0.396 0.792 Ag
0.604 0.604 0.208 Ag
0.000 0.000 0.000 La
```

Properties
Energy of formation from the pure elements   0.202 eV per atom
Electronic total energy   -49.4058 eV per atom
Spin magnetization   0.0 μB/cell


Record 2
RbScTcPt2: single point on PBEsol structure, meta-GGA SCAN.

Cell and atoms, written as POSCAR:
```
RbScTcPt2
1.0
4.844 0.000 0.000
0.000 4.844 0.000
0.000 0.000 4.935
Sc Rb Tc Pt
1 1 1 2
direct
0.500 0.500 0.500 Sc
0.000 0.000 0.500 Rb
0.000 0.000 0.000 Tc
0.000 0.500 0.000 Pt
0.500 0.000 0.000 Pt
```

Properties
Energy of formation from the pure elements   0.986 eV per atom
Electronic total energy   -41.0990 eV per atom
Spin magnetization   0.0 μB/cell


Record 3
LiVF6: single point on PBEsol structure, meta-GGA SCAN.

Cell and atoms, written as POSCAR:
```
LiVF6
1.0
-2.375 -3.682 -7.932
2.205 -8.175 3.135
-11.481 -1.457 4.275
Li V F
8 8 48
direct
0.110 0.137 0.140 Li
0.103 0.870 0.857 Li
0.401 0.618 0.357 Li
0.475 0.512 0.987 Li
0.603 0.130 0.357 Li
0.610 0.863 0.640 Li
0.901 0.382 0.857 Li
0.975 0.488 0.487 Li
0.242 0.261 0.387 V
0.249 0.783 0.122 V
0.254 0.710 0.623 V
0.255 0.219 0.870 V
0.754 0.290 0.123 V
0.755 0.781 0.370 V
0.742 0.739 0.887 V
0.749 0.217 0.622 V
0.091 0.391 0.385 F
0.103 0.657 0.114 F
0.102 0.598 0.578 F
0.096 0.332 0.831 F
0.124 0.111 0.401 F
0.126 0.929 0.162 F
0.156 0.189 0.999 F
0.166 0.739 0.752 F
0.159 0.060 0.817 F
0.168 0.870 0.573 F
0.223 0.241 0.240 F
0.217 0.831 0.982 F
0.263 0.289 0.525 F
0.281 0.729 0.261 F
0.337 0.383 0.929 F
0.343 0.554 0.678 F
0.341 0.248 0.748 F
0.342 0.680 0.495 F
0.366 0.415 0.358 F
0.377 0.642 0.078 F
0.402 0.141 0.385 F
0.396 0.910 0.131 F
0.410 0.822 0.666 F
0.396 0.109 0.923 F
0.602 0.402 0.078 F
0.596 0.668 0.331 F
0.591 0.609 0.885 F
0.603 0.343 0.614 F
0.624 0.889 0.901 F
0.626 0.071 0.662 F
0.656 0.811 0.499 F
0.666 0.261 0.252 F
0.659 0.940 0.317 F
0.668 0.130 0.073 F
0.723 0.759 0.740 F
0.717 0.169 0.481 F
0.763 0.711 0.025 F
0.781 0.271 0.761 F
0.837 0.617 0.429 F
0.843 0.446 0.178 F
0.841 0.752 0.248 F
0.842 0.320 0.995 F
0.866 0.585 0.858 F
0.877 0.358 0.578 F
0.910 0.178 0.166 F
0.896 0.891 0.423 F
0.902 0.859 0.885 F
0.896 0.090 0.631 F
```

Properties
Electronic total energy   -8.0704 eV per atom
Spin magnetization   1.1 μB/cell
Raw formation energy   -2.93 eV/atom


Record 4
LaNbI2Br: single point on PBEsol structure, meta-GGA SCAN.

Cell and atoms, written as POSCAR:
```
LaNbI2Br
1.0
5.270 0.000 0.000
0.000 6.457 0.000
0.000 0.000 6.457
I Nb Br La
2 1 1 1
direct
0.000 0.000 0.500 I
0.000 0.500 0.000 I
0.500 0.500 0.500 Nb
0.000 0.000 0.000 Br
0.500 0.000 0.000 La
```

Properties
Electronic total energy   -33.3339 eV per atom
Spin magnetization   5.0 μB/cell
Raw formation energy   0.50 eV/atom


Record 5
CoTcAuCl2: single point on PBEsol structure, meta-GGA SCAN.

Cell and atoms, written as POSCAR:
```
CoTcAuCl2
1.0
4.738 0.000 0.000
0.000 4.738 0.000
0.000 0.000 5.360
Co Au Tc Cl
1 1 1 2
direct
0.500 0.500 0.500 Co
0.000 0.000 0.000 Au
0.000 0.000 0.500 Tc
0.000 0.500 0.000 Cl
0.500 0.000 0.000 Cl
```

Properties
Electronic total energy   -26.2714 eV per atom
Spin magnetization   6.3 μB/cell
Raw formation energy   1.22 eV/atom


Record 6
Sr3Ta5O15: single point on PBEsol structure, meta-GGA SCAN.

Cell and atoms, written as POSCAR:
```
Sr3Ta5O15
1.0
3.944 0.000 0.000
0.000 12.448 0.000
0.000 0.000 12.448
Sr Ta O
6 10 30
direct
0.500 0.163 0.663 Sr
0.500 0.837 0.337 Sr
0.500 0.663 0.837 Sr
0.500 0.337 0.163 Sr
0.500 0.000 0.000 Sr
0.500 0.500 0.500 Sr
0.000 0.082 0.210 Ta
0.000 0.918 0.790 Ta
0.000 0.210 0.918 Ta
0.000 0.582 0.290 Ta
0.000 0.790 0.082 Ta
0.000 0.418 0.710 Ta
0.000 0.710 0.582 Ta
0.000 0.290 0.418 Ta
0.000 0.500 0.000 Ta
0.000 0.000 0.500 Ta
0.000 0.732 0.232 O
0.000 0.268 0.768 O
0.000 0.232 0.268 O
0.000 0.768 0.732 O
0.000 0.341 0.008 O
0.000 0.659 0.992 O
0.000 0.008 0.659 O
0.000 0.841 0.492 O
0.000 0.992 0.341 O
0.000 0.159 0.508 O
0.000 0.508 0.841 O
0.000 0.492 0.159 O
0.500 0.084 0.206 O
0.500 0.916 0.794 O
0.500 0.206 0.916 O
0.500 0.584 0.294 O
0.500 0.794 0.084 O
0.500 0.416 0.706 O
0.500 0.706 0.584 O
0.500 0.294 0.416 O
0.000 0.136 0.061 O
0.000 0.864 0.939 O
0.000 0.061 0.864 O
0.000 0.636 0.439 O
0.000 0.939 0.136 O
0.000 0.364 0.561 O
0.000 0.561 0.636 O
0.000 0.439 0.364 O
0.500 0.500 0.000 O
0.500 0.000 0.500 O
```

Properties
Electronic total energy   -24.6599 eV per atom
Spin magnetization   0.0 μB/cell
Raw formation energy   -3.22 eV/atom


Calculated D(E_F), 4.96 3.97 0.00 2.10 2.59 4.92 states/eV per cell (same order as the records).